Record 1
The following is a PBE calculation of crystalline MgAsPb2 at its relaxed geometry, from the Alexandria database.

a = 6.9152 Å, b = 6.9152 Å, c = 11.9972 Å
α = 90.00°, β = 90.00°, γ = 90.00°
Space group I-42d (No. 122)
Symmetry-distinct sites (fractional):
Mg  0.0000  0.0000  0.0000 (multiplicity 4)
As  0.0000  0.0000  0.5000 (multiplicity 4)
Pb  0.2329  0.2500  0.6250 (multiplicity 8)

Summary:
Calculated formation energy (kcal/mol of atoms): 4.5


Record 2
The following is a PBE calculation of crystalline SrZnSiPt at its relaxed geometry, from the Alexandria database.

a = 4.3313 Å, b = 4.5455 Å, c = 9.3037 Å
α = 90.00°, β = 90.00°, γ = 90.00°
Space group Imm2 (No. 44)
Symmetry-distinct sites (fractional):
Sr  0.0000  0.0000  0.0000 (multiplicity 2)
Zn  0.0000  0.0000  0.3581 (multiplicity 2)
Si  0.0000  0.5000  0.2360 (multiplicity 2)
Pt  0.0000  0.0000  0.6351 (multiplicity 2)

Summary:
Formation energy from raw total energies (meV/atom): -555


Record 3
The following is a PBE calculation of crystalline ZrSbSe2N at its relaxed geometry, from the Alexandria database.

a = 5.3347 Å, b = 5.3347 Å, c = 3.8970 Å
α = 90.00°, β = 90.00°, γ = 90.00°
Space group P4/mmm (No. 123)
Symmetry-distinct sites (fractional):
Zr  0.0000  0.0000  0.0000 (multiplicity 1)
Sb  0.5000  0.5000  0.5000 (multiplicity 1)
Se  0.0000  0.5000  0.5000 (multiplicity 2)
N  0.5000  0.5000  0.0000 (multiplicity 1)

Summary:
Formation energy from raw total energies (meV/atom): 553


Record 4
The following is a PBE calculation of crystalline ZrFe3Re at its relaxed geometry, from the Alexandria database.

a = 4.4333 Å, b = 4.4333 Å, c = 4.4333 Å
α = 90.00°, β = 90.00°, γ = 90.00°
Space group Pm-3m (No. 221)
Symmetry-distinct sites (fractional):
Zr  0.0000  0.0000  0.0000 (multiplicity 1)
Fe  0.0000  0.5000  0.5000 (multiplicity 3)
Re  0.5000  0.5000  0.5000 (multiplicity 1)

Summary:
Calculated formation energy (kcal/mol of atoms): 23.5


Record 5
The following is a PBE calculation of crystalline CsMo2Br at its relaxed geometry, from the Alexandria database.

a = 6.8162 Å, b = 6.8162 Å, c = 6.8162 Å
α = 90.00°, β = 90.00°, γ = 90.00°
Space group Fm-3m (No. 225)
Symmetry-distinct sites (fractional):
Cs  0.0000  0.0000  0.0000 (multiplicity 4)
Mo  0.2500  0.2500  0.2500 (multiplicity 8)
Br  0.0000  0.0000  0.5000 (multiplicity 4)

Summary:
Formation energy from raw total energies (meV/atom): 2057


Record 6
The following is a PBE calculation of crystalline BaZrTe2 at its relaxed geometry, from the Alexandria database.

a = 5.5995 Å, b = 4.1889 Å, c = 11.7766 Å
α = 90.00°, β = 90.00°, γ = 90.00°
Space group Amm2 (No. 38)
Symmetry-distinct sites (fractional):
Ba  0.0000  0.0000  0.0000 (multiplicity 2)
Zr  0.5000  0.0000  0.2613 (multiplicity 2)
Te  0.0000  0.0000  0.2797 (multiplicity 2)
Te  0.5000  0.0000  0.5799 (multiplicity 2)

Summary:
Formation energy from raw total energies (meV/atom): -930


Record 7
The following is a PBE calculation of crystalline ZrNi9Sn2 at its relaxed geometry, from the Alexandria database.

a = 4.8493 Å, b = 4.8493 Å, c = 23.8113 Å
α = 90.00°, β = 90.00°, γ = 120.00°
Space group R-3m (No. 166, hexagonal axes)
Symmetry-distinct sites (fractional):
Zr  0.0000  0.0000  0.0000 (multiplicity 3)
Ni  0.0000  0.0000  0.3337 (multiplicity 6)
Ni  0.0000  0.0000  0.5000 (multiplicity 3)
Ni  0.0029  0.5015  0.9168 (multiplicity 18)
Sn  0.0000  0.0000  0.1361 (multiplicity 6)

Summary:
Calculated formation energy (kcal/mol of atoms): -4.5


Record 8
The following is a PBE calculation of crystalline SiMoW at its relaxed geometry, from the Alexandria database.

a = 3.2581 Å, b = 4.5532 Å, c = 12.1386 Å
α = 90.00°, β = 90.00°, γ = 90.00°
Space group Fmm2 (No. 42)
Symmetry-distinct sites (fractional):
Si  0.0000  0.0000  0.0000 (multiplicity 4)
Mo  0.0000  0.0000  0.3406 (multiplicity 4)
W  0.0000  0.0000  0.6614 (multiplicity 4)

Summary:
Formation energy from raw total energies (meV/atom): 7